1.
Entry from Alexandria via LeMat-Bulk: a geometry-optimized Li5Ag3 structure (GGA-PBEsol).

abc: 5.4746 5.4746 4.2360
angles: 90.00 90.00 102.80
Closest atoms and distances in Å follow each position.
Fractional coordinates of all 8 atoms:
Li 0.0000 0.0000 0.0000  8 Li 2.74, 4 Ag 3.03
Li 0.0000 0.5000 0.0000  6 Ag 2.72-2.74, 6 Li 2.74-3.01
Li 0.2539 0.2539 0.5000  6 Ag 2.70-2.77, 6 Li 2.74-3.01
Li 0.5000 0.0000 0.0000  6 Ag 2.72-2.74, 6 Li 2.74-3.01
Li 0.7461 0.7461 0.5000  6 Ag 2.70-2.77, 6 Li 2.74-3.01
Ag 0.2531 0.7469 0.5000  8 Li 2.70-2.77, 2 Ag 2.99
Ag 0.5000 0.5000 0.0000  8 Li 2.70-2.74, 4 Ag 2.99
Ag 0.7469 0.2531 0.5000  8 Li 2.70-2.77, 2 Ag 2.99

Computed properties:
Total DFT energy (no corrections), eV/atom: -2.626
Density, g cm⁻³: 4.81

2.
Entry from Alexandria via LeMat-Bulk: a geometry-optimized MnCoP structure (GGA-PBEsol).

abc: 3.7305 3.7305 2.7504
angles: 90.00 90.00 120.00
Closest atoms and distances in Å follow each position.
Fractional coordinates of all 3 atoms:
Mn 0.0000 0.0000 0.0000  6 P 2.56, 6 Co 2.56, 2 Mn 2.75
Co 0.6667 0.3333 0.5000  3 P 2.15
P 0.3333 0.6667 0.5000  3 Co 2.15

Computed properties:
Total DFT energy (no corrections), eV/atom: -8.172
Density, g cm⁻³: 7.26

3.
Entry from Alexandria via LeMat-Bulk: a geometry-optimized CrIn2Te structure (GGA-PBEsol).

abc: 6.3464 6.3464 4.0354
angles: 108.03 108.03 125.96
Closest atoms and distances in Å follow each position.
Fractional coordinates of all 4 atoms:
Cr 0.0000 0.0000 0.0000  4 Te 2.88-2.96, 4 In 3.19
In 0.0000 0.5000 0.5000  4 In 2.88-2.96, 2 Cr 3.19, 2 Te 3.19
In 0.5000 0.0000 0.5000  4 In 2.88-2.96, 2 Cr 3.19, 2 Te 3.19
Te 0.5000 0.5000 0.0000  4 Cr 2.88-2.96, 4 In 3.19

Computed properties:
Energy relative to the elements, uncorrected, eV/atom: 0.221
Total DFT energy (no corrections), eV/atom: -4.713
Density, g cm⁻³: 7.06

4.
Entry from Alexandria via LeMat-Bulk: a geometry-optimized MnCr2Tc structure (GGA-PBEsol).

abc: 4.0486 4.0486 4.0486
angles: 60.00 60.00 60.00
Closest atoms and distances in Å follow each position.
Fractional coordinates of all 4 atoms:
Mn 0.0000 0.0000 0.0000  8 Cr 2.48
Cr 0.2500 0.2500 0.2500  4 Tc 2.48, 4 Mn 2.48
Cr 0.7500 0.7500 0.7500  4 Tc 2.48, 4 Mn 2.48
Tc 0.5000 0.5000 0.5000  8 Cr 2.48

Computed properties:
Total DFT energy (no corrections), eV/atom: -10.278
Density, g cm⁻³: 9.09
ΔE to the lowest computed polymorph, meV per atom: 25.9